DFT (PBE) results for crystalline Th2TePd9 at its relaxed geometry.

Lattice parameters (Å, degrees): 4.191 4.191 12.494 90.00 90.00 90.00
Atoms (fractional coordinates):
Pd  0.500  0.000  0.167
Pd  0.500  0.500  0.666
Pd  0.500  0.500  0.334
Pd  0.500  0.500  0.000
Pd  0.000  0.500  0.167
Pd  0.000  0.500  0.500
Pd  0.500  0.000  0.833
Pd  0.000  0.500  0.833
Pd  0.500  0.000  0.500
Th  0.000  0.000  0.672
Th  0.000  0.000  0.328
Te  0.000  0.000  0.000

Properties
SG: P4/mmm (123)
Final energy (hartree per atom): -0.22415